The following is a DFT calculation (PBE+U) of a relaxed structure of Na2MnInO4.

Cell: 6.353 6.353 6.555 Å, 118.99 118.99 89.70°
Fractional positions:
Na1 0.000 0.000 0.000
Na2 0.000 0.000 0.500
Na3 0.000 0.500 0.000
Na4 0.500 0.000 0.500
Mn1 0.500 0.500 0.000
Mn2 0.500 0.500 0.500
In1 0.000 0.500 0.500
In2 0.500 0.000 0.000
O1 0.265 0.717 0.971
O2 0.269 0.284 0.494
O3 0.283 0.735 0.529
O4 0.284 0.269 0.994
O5 0.716 0.731 0.006
O6 0.717 0.265 0.471
O7 0.731 0.716 0.506
O8 0.735 0.283 0.029

Results
Uncorrected energy in eV per cell: -91.228
Space group: C2/c
Total magnetization in Bohr magnetons per cell: 8.0